one:
DFT (GGA-PBE) results for a relaxed Na6CdHg3 crystal.

Output
Magnetization = 0.0 μB/cell

Unit cell a=3.5148 b=12.9655 c=12.7928 alpha=97.31 beta=90.00 gamma=90.00
With the nearest neighbours (Å) after each atom.
Positions (direct):
Na 0.7500 0.4788 0.6382  4 Hg 3.12-3.26
Na 0.2500 0.5212 0.3618  4 Hg 3.12-3.26
Na 0.7500 0.8110 0.0547  5 Hg 3.24-3.27, 3 Na 3.44-3.51, 2 Cd 3.62
Na 0.2500 0.1890 0.9453  5 Hg 3.24-3.27, 3 Na 3.44-3.51, 2 Cd 3.62
Na 0.7500 0.4254 0.0989  3 Hg 3.15-3.18, 2 Na 3.51
Na 0.2500 0.5746 0.9011  3 Hg 3.15-3.18, 2 Na 3.51
Na 0.7500 0.7701 0.3154  3 Hg 3.08-3.16, 2 Cd 3.24, 1 Na 3.44
Na 0.2500 0.2299 0.6846  3 Hg 3.08-3.16, 2 Cd 3.24, 1 Na 3.44
Na 0.7500 0.1078 0.4524  2 Hg 3.26, 2 Cd 3.31, 6 Na 3.51-3.64
Na 0.2500 0.8922 0.5476  2 Hg 3.26, 2 Cd 3.31, 6 Na 3.51-3.64
Na 0.7500 0.7680 0.7616  3 Hg 3.09-3.18
Na 0.2500 0.2320 0.2384  3 Hg 3.09-3.18
Cd 0.7500 0.0317 0.7347  2 Hg 3.12, 5 Na 3.24-3.48
Cd 0.2500 0.9683 0.2653  2 Hg 3.12, 5 Na 3.24-3.48
Hg 0.7500 0.3695 0.8520  8 Na 3.15-3.27, 2 Hg 3.51
Hg 0.2500 0.6305 0.1480  8 Na 3.15-3.27, 2 Hg 3.51
Hg 0.7500 0.6788 0.5261  7 Na 3.08-3.26
Hg 0.2500 0.3212 0.4739  7 Na 3.08-3.26
Hg 0.7500 0.0624 0.0996  2 Cd 3.12, 5 Na 3.18-3.24, 2 Hg 3.34
Hg 0.2500 0.9376 0.9004  2 Cd 3.12, 5 Na 3.18-3.24, 2 Hg 3.34



two:
DFT (GGA-PBE) results for a relaxed Na6CdHg3 crystal.

Output
Magnetization = 0.0 μB/cell

Unit cell a=5.4053 b=9.0109 c=12.0733 alpha=113.22 beta=90.00 gamma=90.00
With the nearest neighbours (Å) after each atom.
Positions (direct):
Na 0.2500 0.4724 0.0736  7 Hg 3.26-3.41, 5 Na 3.31-3.43
Na 0.7500 0.5276 0.9264  7 Hg 3.26-3.41, 5 Na 3.31-3.43
Na 0.2500 0.1581 0.1565  8 Na 3.30-3.68, 4 Hg 3.31-3.56
Na 0.7500 0.8419 0.8435  8 Na 3.30-3.68, 4 Hg 3.31-3.56
Na 0.2500 0.6580 0.6702  5 Hg 3.20-3.38, 5 Na 3.38-3.50, 1 Cd 3.43
Na 0.7500 0.3420 0.3298  5 Hg 3.20-3.38, 5 Na 3.38-3.50, 1 Cd 3.43
Na 0.2500 0.2634 0.4833  4 Hg 3.21-3.43, 3 Cd 3.25-3.29, 4 Na 3.38-3.58
Na 0.7500 0.7366 0.5167  4 Hg 3.21-3.43, 3 Cd 3.25-3.29, 4 Na 3.38-3.58
Na 0.2500 0.8470 0.2800  4 Hg 3.20-3.50, 3 Cd 3.20-3.34, 3 Na 3.31-3.42
Na 0.7500 0.1530 0.7200  4 Hg 3.20-3.50, 3 Cd 3.20-3.34, 3 Na 3.31-3.42
Na 0.2500 0.0814 0.8655  4 Hg 3.29-3.51, 7 Na 3.30-3.61, 1 Cd 3.33
Na 0.7500 0.9186 0.1345  4 Hg 3.29-3.51, 7 Na 3.30-3.61, 1 Cd 3.33
Cd 0.2500 0.9626 0.5671  8 Na 3.20-3.43, 2 Cd 3.35, 1 Hg 3.43
Cd 0.7500 0.0374 0.4329  8 Na 3.20-3.43, 2 Cd 3.35, 1 Hg 3.43
Hg 0.2500 0.5630 0.3759  9 Na 3.20-3.56, 2 Hg 3.39, 1 Cd 3.43
Hg 0.7500 0.4370 0.6241  9 Na 3.20-3.56, 2 Hg 3.39, 1 Cd 3.43
Hg 0.2500 0.3793 0.7713  8 Na 3.20-3.41, 3 Hg 3.39-3.41
Hg 0.7500 0.6207 0.2287  8 Na 3.20-3.41, 3 Hg 3.39-3.41
Hg 0.2500 0.7713 0.9728  11 Na 3.29-3.51, 1 Hg 3.41
Hg 0.7500 0.2287 0.0272  11 Na 3.29-3.51, 1 Hg 3.41



Top of the stability list: two, leading by 32 meV/atom.



one:
DFT (GGA-PBE) results for a relaxed Na2Cd2Hg5 crystal.

Output
Magnetization = 0.0 μB/cell

Unit cell a=8.1743 b=7.6833 c=9.7107 alpha=113.30 beta=114.89 gamma=90.00
With the nearest neighbours (Å) after each atom.
Positions (direct):
Na 0.0887 0.6882 0.2593  6 Hg 3.07-3.31, 2 Cd 3.43
Na 0.9113 0.4289 0.7407  6 Hg 3.07-3.31, 2 Cd 3.43
Na 0.6706 0.1882 0.2593  6 Hg 3.07-3.31, 2 Cd 3.43
Na 0.3294 0.9289 0.7407  6 Hg 3.07-3.31, 2 Cd 3.43
Cd 0.0000 0.9138 0.0000  6 Hg 2.96-2.99
Cd 0.5000 0.4138 0.0000  6 Hg 2.96-2.99
Cd 0.2677 0.4423 0.5000  6 Hg 3.00-3.23
Cd 0.7323 0.9423 0.5000  6 Hg 3.00-3.23
Hg 0.2922 0.7180 0.9401  2 Cd 2.96-2.99, 2 Hg 3.06-3.25, 2 Na 3.07-3.15
Hg 0.7079 0.7778 0.0599  2 Cd 2.96-2.99, 2 Hg 3.06-3.25, 2 Na 3.07-3.15
Hg 0.1480 0.2180 0.9401  2 Cd 2.96-2.99, 2 Hg 3.06-3.25, 2 Na 3.07-3.15
Hg 0.8520 0.2778 0.0599  2 Cd 2.96-2.99, 2 Hg 3.06-3.25, 2 Na 3.07-3.15
Hg 0.3549 0.0307 0.3097  3 Cd 2.96-3.23, 2 Hg 3.02-3.25, 2 Na 3.15-3.16
Hg 0.6451 0.7209 0.6903  3 Cd 2.96-3.23, 2 Hg 3.02-3.25, 2 Na 3.15-3.16
Hg 0.4548 0.5307 0.3097  3 Cd 2.96-3.23, 2 Hg 3.02-3.25, 2 Na 3.15-3.16
Hg 0.5452 0.2209 0.6903  3 Cd 2.96-3.23, 2 Hg 3.02-3.25, 2 Na 3.15-3.16
Hg 0.9328 0.6154 0.5000  2 Cd 3.00-3.04, 4 Na 3.25-3.31
Hg 0.0672 0.1154 0.5000  2 Cd 3.00-3.04, 4 Na 3.25-3.31



two:
DFT (GGA-PBE) results for a relaxed Na2Cd2Hg5 crystal.

Output
Magnetization = 0.0 μB/cell

Unit cell a=3.2489 b=8.0347 c=8.9913 alpha=81.53 beta=102.13 gamma=91.54
With the nearest neighbours (Å) after each atom.
Positions (direct):
Na 0.5743 0.3000 0.1380  8 Hg 3.24-3.32, 2 Na 3.25, 2 Cd 3.38-3.43
Na 0.4257 0.7000 0.8620  8 Hg 3.24-3.32, 2 Na 3.25, 2 Cd 3.38-3.43
Cd 0.1584 0.9701 0.3465  5 Hg 3.02-3.21, 4 Cd 3.24-3.25, 1 Na 3.38
Cd 0.8416 0.0299 0.6535  5 Hg 3.02-3.21, 4 Cd 3.24-3.25, 1 Na 3.38
Hg 0.1207 0.6371 0.1899  5 Hg 3.14-3.44, 1 Cd 3.19, 4 Na 3.24-3.30
Hg 0.2556 0.3297 0.4560  6 Hg 3.14-3.51, 3 Cd 3.17-3.21, 2 Na 3.26-3.28
Hg 0.7444 0.6703 0.5440  6 Hg 3.14-3.51, 3 Cd 3.17-3.21, 2 Na 3.26-3.28
Hg 0.8793 0.3629 0.8101  5 Hg 3.14-3.44, 1 Cd 3.19, 4 Na 3.24-3.30
Hg 0.0000 0.0000 0.0000  2 Cd 3.02, 4 Hg 3.14-3.25, 4 Na 3.24-3.32



Top of the stability list: two, leading by 44 meV/atom.



one:
DFT (GGA-PBE) results for a relaxed NaCd4Hg crystal.

Output
Magnetization = 0.0 μB/cell

Unit cell a=5.9639 b=5.9639 c=5.9639 alpha=60.00 beta=60.00 gamma=60.00
With the nearest neighbours (Å) after each atom.
Positions (direct):
Na 0.2500 0.2500 0.2500  12 Cd 3.50, 4 Hg 3.65
Hg 0.0000 0.0000 0.0000  12 Cd 3.50, 4 Na 3.65
Cd 0.6247 0.6247 0.1259  6 Cd 2.97-2.99
Cd 0.6247 0.1259 0.6247  6 Cd 2.97-2.99
Cd 0.6247 0.6247 0.6247  6 Cd 2.97-2.99
Cd 0.1259 0.6247 0.6247  6 Cd 2.97-2.99



two:
DFT (GGA-PBE) results for a relaxed NaCd4Hg crystal.

Output
Magnetization = 0.0 μB/cell

Unit cell a=3.9346 b=8.5160 c=9.0595 alpha=90.00 beta=102.54 gamma=90.00
With the nearest neighbours (Å) after each atom.
Positions (direct):
Na 0.1097 0.2500 0.2194  2 Hg 3.13, 9 Cd 3.15-3.49
Na 0.8903 0.7500 0.7806  2 Hg 3.13, 9 Cd 3.15-3.49
Cd 0.5000 0.5000 0.0000  6 Cd 3.00-3.14
Cd 0.5000 0.0000 0.0000  6 Cd 3.00-3.14
Cd 0.6680 0.9521 0.3360  3 Hg 2.90-3.01, 3 Cd 3.00-3.15
Cd 0.3320 0.0479 0.6640  3 Hg 2.90-3.01, 3 Cd 3.00-3.15
Cd 0.3320 0.4521 0.6640  3 Hg 2.90-3.01, 3 Cd 3.00-3.15
Cd 0.6680 0.5479 0.3360  3 Hg 2.90-3.01, 3 Cd 3.00-3.15
Cd 0.0686 0.7500 0.1373  8 Cd 3.14-3.15, 1 Na 3.15, 1 Hg 3.26
Cd 0.9314 0.2500 0.8627  8 Cd 3.14-3.15, 1 Na 3.15, 1 Hg 3.26
Hg 0.2528 0.7500 0.5055  6 Cd 2.90-3.01, 2 Na 3.13
Hg 0.7472 0.2500 0.4945  6 Cd 2.90-3.01, 2 Na 3.13



three:
DFT (GGA-PBE) results for a relaxed NaCd4Hg crystal.

Output
Magnetization = 0.0 μB/cell

Unit cell a=5.2202 b=6.8658 c=8.2535 alpha=90.00 beta=90.00 gamma=90.00
With the nearest neighbours (Å) after each atom.
Positions (direct):
Na 0.0000 0.7500 0.3462  1 Hg 2.98, 6 Cd 3.23-3.33
Na 0.0000 0.2500 0.6538  1 Hg 2.98, 6 Cd 3.23-3.33
Cd 0.0000 0.0000 0.0000  2 Hg 2.97, 4 Cd 3.14
Cd 0.5000 0.5263 0.6773  3 Cd 2.95-3.07, 2 Hg 3.04, 2 Na 3.23
Cd 0.5000 0.7500 0.0405  6 Cd 3.00-3.14
Cd 0.0000 0.5000 0.0000  2 Hg 2.97, 4 Cd 3.14
Cd 0.5000 0.2500 0.9596  6 Cd 3.00-3.14
Cd 0.5000 0.9737 0.6773  3 Cd 2.95-3.07, 2 Hg 3.04, 2 Na 3.23
Cd 0.5000 0.0263 0.3227  3 Cd 2.95-3.07, 2 Hg 3.04, 2 Na 3.23
Cd 0.5000 0.4737 0.3227  3 Cd 2.95-3.07, 2 Hg 3.04, 2 Na 3.23
Hg 0.0000 0.7500 0.7070  6 Cd 2.97-3.04, 1 Na 2.98
Hg 0.0000 0.2500 0.2930  6 Cd 2.97-3.04, 1 Na 2.98



Top of the stability list: two, leading by 22 meV/atom.